Compound: Pm2ZnCo
Source: Alexandria via LeMat-Bulk
Functional: PBE
Structure: relaxed

Output
VASP energy ... -0.1697 hartree per atom
Calculated formation energy ... -0.149 eV per atom
Mass density ... 7.62 g/cm³
Energy above the lowest structure with this stoichiometry ... 0.033 eV/atom
Size of the total moment ... 0.57 μB per formula unit

a b c (Å): 3.5105 3.5105 7.3229
angles (deg): 90.00 90.00 90.00
Space group P4/mmm (No. 123)
One atom of each set of equivalent atoms:
1 Pm 0.0000 0.0000 0.2304
2 Zn 0.5000 0.5000 0.5000
3 Co 0.5000 0.5000 0.0000